TaIrPt2 (meta-GGA SCAN, single point on PBEsol structure); total magnetization = 0.00 μB/cell; DFT total energy = -70.22 eV/atom; E_form = -0.706 eV/atom; energy above the most stable polymorph in this dataset = 1.7 meV per atom; calculated volume = 15.1 Å³/atom; space-group type = P4/mmm (123); Fermi-level density of states = 0.84 states/eV/cell
1.0
3.891 0.000 0.000
0.000 3.891 0.000
0.000 0.000 3.997
Ta Ir Pt
1 1 2
Direct
0.000 0.000 0.000
0.500 0.500 0.000
0.000 0.500 0.500
0.500 0.000 0.500